# 1
VASP calculation (PBE) on an optimized crystal structure of Nb2CoHAu.

* crystal system: tetragonal
* D(E_F): 0.48 states/eV per atom
* electronic total energy: -6.882 eV/atom

Cell and atoms, written as CIF:
```
data_Nb2CoHAu
_cell_length_a 4.070
_cell_length_b 4.070
_cell_length_c 4.008
_cell_angle_alpha 90.00
_cell_angle_beta 90.00
_cell_angle_gamma 90.00
_space_group_name_H-M_alt 'P 4/m m m'
_space_group_IT_number 123
_space_group_name_Hall '-P 4 2'
loop_
_atom_site_label
_atom_site_type_symbol
_atom_site_fract_x
_atom_site_fract_y
_atom_site_fract_z
_atom_site_occupancy
Nb1 Nb 0.000 0.500 0.000 1
Co1 Co 0.000 0.000 0.500 1
H1 H 0.000 0.000 0.000 1
Au1 Au 0.500 0.500 0.500 1
```

# 2
VASP calculation (PBE) on an optimized crystal structure of ScMoPbC2.

* crystal system: tetragonal
* D(E_F): 0.86 states/eV per atom
* calculated formation energy: 2.20 eV/atom

Cell and atoms, written as CIF:
```
data_ScMoPbC2
_cell_length_a 4.211
_cell_length_b 4.211
_cell_length_c 5.571
_cell_angle_alpha 90.00
_cell_angle_beta 90.00
_cell_angle_gamma 90.00
_space_group_name_H-M_alt 'P 4/m m m'
_space_group_IT_number 123
_space_group_name_Hall '-P 4 2'
loop_
_atom_site_label
_atom_site_type_symbol
_atom_site_fract_x
_atom_site_fract_y
_atom_site_fract_z
_atom_site_occupancy
Sc1 Sc 0.000 0.000 0.000 1
Mo1 Mo 0.500 0.500 0.500 1
Pb1 Pb 0.000 0.000 0.500 1
C1 C 0.000 0.500 0.000 1
```

# 3
VASP calculation (PBE) on an optimized crystal structure of SrTcBi2Ir.

* crystal system: tetragonal
* D(E_F): 0.77 states/eV per atom
* calculated formation energy: 0.40 eV/atom

Cell and atoms, written as CIF:
```
data_SrTcBi2Ir
_cell_length_a 5.308
_cell_length_b 5.308
_cell_length_c 4.966
_cell_angle_alpha 90.00
_cell_angle_beta 90.00
_cell_angle_gamma 90.00
_space_group_name_H-M_alt 'P 4/m m m'
_space_group_IT_number 123
_space_group_name_Hall '-P 4 2'
loop_
_atom_site_label
_atom_site_type_symbol
_atom_site_fract_x
_atom_site_fract_y
_atom_site_fract_z
_atom_site_occupancy
Sr1 Sr 0.000 0.000 0.000 1
Tc1 Tc 0.500 0.500 0.500 1
Bi1 Bi 0.000 0.500 0.500 1
Ir1 Ir 0.500 0.500 0.000 1
```